# GGA-PBE MgNbBr2, relaxed
data_MgNbBr2
_space_group_name_H-M_alt 'F m -3 m'
_space_group_IT_number 225
_space_group_name_Hall '-F 4 2 3'
_cell_length_a 6.8191
_cell_length_b 6.8191
_cell_length_c 6.8191
_cell_angle_alpha 90.00
_cell_angle_beta 90.00
_cell_angle_gamma 90.00
loop_
_atom_site_label
_atom_site_type_symbol
_atom_site_fract_x
_atom_site_fract_y
_atom_site_fract_z
Mg1 Mg 0.0000 0.0000 0.0000
Nb1 Nb 0.0000 0.0000 0.5000
Br1 Br 0.2500 0.2500 0.2500
# **Distance to the lowest polymorph of the same formula**: 496 meV/atom
# **Crystal system**: cubic
# **Formation energy from raw total energies**: 177 meV/atom

# GGA-PBE LaNd2TmIn4, relaxed
data_LaNd2TmIn4
_space_group_name_H-M_alt 'R -3 m'
_space_group_IT_number 166
_space_group_name_Hall '-R 3 2"'
_cell_length_a 5.4458
_cell_length_b 5.4458
_cell_length_c 26.8636
_cell_angle_alpha 90.00
_cell_angle_beta 90.00
_cell_angle_gamma 120.00
loop_
_atom_site_label
_atom_site_type_symbol
_atom_site_fract_x
_atom_site_fract_y
_atom_site_fract_z
La1 La 0.0000 0.0000 0.0000
Nd1 Nd 0.0000 0.0000 0.2488
Tm1 Tm 0.0000 0.0000 0.5000
In1 In 0.0000 0.0000 0.1272
In2 In 0.0000 0.0000 0.3776
# **Crystal system**: trigonal
# **Formation energy**: -0.4705 eV per atom

# GGA-PBE Hf4SnSe8, relaxed
data_Hf4SnSe8
_space_group_name_H-M_alt 'F -4 3 m'
_space_group_IT_number 216
_space_group_name_Hall 'F -4 2 3'
_cell_length_a 11.2248
_cell_length_b 11.2248
_cell_length_c 11.2248
_cell_angle_alpha 90.00
_cell_angle_beta 90.00
_cell_angle_gamma 90.00
loop_
_atom_site_label
_atom_site_type_symbol
_atom_site_fract_x
_atom_site_fract_y
_atom_site_fract_z
Hf1 Hf 0.1159 0.1159 0.1159
Sn1 Sn 0.0000 0.0000 0.5000
Se1 Se 0.1218 0.1218 0.8782
Se2 Se 0.1406 0.1406 0.3594
# **Crystal system**: cubic
# **Formation energy from raw total energies**: -1088 meV/atom

# GGA-PBE MgFeSbI2, relaxed
data_MgFeSbI2
_space_group_name_H-M_alt 'P 4/m m m'
_space_group_IT_number 123
_space_group_name_Hall '-P 4 2'
_cell_length_a 5.5370
_cell_length_b 5.5370
_cell_length_c 4.9560
_cell_angle_alpha 90.00
_cell_angle_beta 90.00
_cell_angle_gamma 90.00
loop_
_atom_site_label
_atom_site_type_symbol
_atom_site_fract_x
_atom_site_fract_y
_atom_site_fract_z
Mg1 Mg 0.0000 0.0000 0.0000
Fe1 Fe 0.5000 0.5000 0.5000
Sb1 Sb 0.5000 0.5000 0.0000
I1 I 0.0000 0.5000 0.5000
# **Distance to the lowest polymorph of the same formula**: 0 meV/atom
# **Crystal system**: tetragonal
# **Formation energy from raw total energies**: 320 meV/atom

# GGA-PBE ScMnSe3, relaxed
data_ScMnSe3
_space_group_name_H-M_alt 'P m -3 m'
_space_group_IT_number 221
_space_group_name_Hall '-P 4 2 3'
_cell_length_a 4.8294
_cell_length_b 4.8294
_cell_length_c 4.8294
_cell_angle_alpha 90.00
_cell_angle_beta 90.00
_cell_angle_gamma 90.00
loop_
_atom_site_label
_atom_site_type_symbol
_atom_site_fract_x
_atom_site_fract_y
_atom_site_fract_z
Sc1 Sc 0.0000 0.0000 0.0000
Mn1 Mn 0.5000 0.5000 0.5000
Se1 Se 0.0000 0.5000 0.5000
# **Distance to the lowest polymorph of the same formula**: 629 meV/atom
# **Crystal system**: cubic
# **Formation energy from raw total energies**: -367 meV/atom

# GGA-PBE ZnS, relaxed
data_ZnS
_space_group_name_H-M_alt 'P 21 21 21'
_space_group_IT_number 19
_space_group_name_Hall 'P 2ac 2ab'
_cell_length_a 6.8674
_cell_length_b 6.9677
_cell_length_c 7.9009
_cell_angle_alpha 90.00
_cell_angle_beta 90.00
_cell_angle_gamma 90.00
loop_
_atom_site_label
_atom_site_type_symbol
_atom_site_fract_x
_atom_site_fract_y
_atom_site_fract_z
Zn1 Zn 0.1335 0.0636 0.2382
Zn2 Zn 0.1590 0.6035 0.9652
S1 S 0.1675 0.4062 0.2109
S2 S 0.1884 0.1037 0.5412
# **Crystal system**: orthorhombic
# **Formation energy from raw total energies**: -650 meV/atom

# GGA-PBE Zr2TaOs, relaxed
data_Zr2TaOs
_space_group_name_H-M_alt 'P 4/m m m'
_space_group_IT_number 123
_space_group_name_Hall '-P 4 2'
_cell_length_a 3.2801
_cell_length_b 3.2801
_cell_length_c 7.1101
_cell_angle_alpha 90.00
_cell_angle_beta 90.00
_cell_angle_gamma 90.00
loop_
_atom_site_label
_atom_site_type_symbol
_atom_site_fract_x
_atom_site_fract_y
_atom_site_fract_z
Zr1 Zr 0.0000 0.0000 0.2313
Ta1 Ta 0.5000 0.5000 0.5000
Os1 Os 0.5000 0.5000 0.0000
# **Distance to the lowest polymorph of the same formula**: 54 meV/atom
# **Crystal system**: tetragonal
# **Formation energy**: -0.1706 eV per atom

# GGA-PBE ReNi2Os, relaxed
data_ReNi2Os
_space_group_name_H-M_alt 'P 4/m m m'
_space_group_IT_number 123
_space_group_name_Hall '-P 4 2'
_cell_length_a 3.6880
_cell_length_b 3.6880
_cell_length_c 3.7675
_cell_angle_alpha 90.00
_cell_angle_beta 90.00
_cell_angle_gamma 90.00
loop_
_atom_site_label
_atom_site_type_symbol
_atom_site_fract_x
_atom_site_fract_y
_atom_site_fract_z
Re1 Re 0.0000 0.0000 0.0000
Ni1 Ni 0.0000 0.5000 0.5000
Os1 Os 0.5000 0.5000 0.0000
# **Distance to the lowest polymorph of the same formula**: 116 meV/atom
# **Crystal system**: tetragonal
# **Formation energy**: 0.1245 eV per atom

Per-record D(E_F), states/eV/cell: 15.2, 11.8, 33.7, 6.1, 1.7, 0.0, 4.9, 4.3
Per-record final energy, eV/cell: -57.21, -100.96, -343.37, -15.68, -27.79, -53.61, -40.86, -34.74